# 1
The following is a GGA-PBE calculation of Pm6Er2Tm3 after structural relaxation, from Alexandria.

Calculated values
- distance to the lowest polymorph of the same formula (kcal/mol of atoms) = 0.00
- energy of formation from the pure elements (eV per atom) = 0.017
- calculated density (g cm⁻³) = 8.001

```
data_Pm6Er2Tm3
_cell_length_a 3.585
_cell_length_b 3.585
_cell_length_c 31.983
_cell_angle_alpha 86.79
_cell_angle_beta 86.79
_cell_angle_gamma 60.00
_symmetry_space_group_name_H-M 'P 1'
_symmetry_Int_Tables_number 1
_symmetry_space_group_name_Hall 'P 1'
loop_
_atom_site_label
_atom_site_fract_x
_atom_site_fract_y
_atom_site_fract_z
Pm1 0.182 0.182 0.453
Pm2 0.090 0.090 0.729
Pm3 0.818 0.818 0.547
Pm4 0.910 0.910 0.271
Pm5 0.363 0.363 0.910
Pm6 0.637 0.637 0.090
Er1 0.454 0.454 0.638
Er2 0.546 0.546 0.362
Tm1 0.727 0.727 0.820
Tm2 0.273 0.273 0.180
Tm3 0.000 0.000 0.000
```



# 2
The following is a GGA-PBE calculation of HoPu3Mn3 after structural relaxation, from Alexandria.

Calculated values
- energy of formation from the pure elements (eV per atom) = 0.652
- calculated density (g cm⁻³) = 11.452

```
data_HoPu3Mn3
_cell_length_a 6.753
_cell_length_b 6.753
_cell_length_c 6.753
_cell_angle_alpha 90.00
_cell_angle_beta 90.00
_cell_angle_gamma 90.00
_symmetry_space_group_name_H-M 'P 1'
_symmetry_Int_Tables_number 1
_symmetry_space_group_name_Hall 'P 1'
loop_
_atom_site_label
_atom_site_fract_x
_atom_site_fract_y
_atom_site_fract_z
Mn1 0.500 0.000 0.750
Mn2 0.500 0.000 0.250
Mn3 0.000 0.250 0.500
Mn4 0.250 0.500 0.000
Mn5 0.750 0.500 0.000
Mn6 0.000 0.750 0.500
Pu1 0.500 0.250 0.000
Pu2 0.000 0.500 0.250
Pu3 0.750 0.000 0.500
Pu4 0.250 0.000 0.500
Pu5 0.000 0.500 0.750
Pu6 0.500 0.750 0.000
Ho1 0.500 0.500 0.500
Ho2 0.000 0.000 0.000
```



# 3
The following is a GGA-PBE calculation of TbPmBi after structural relaxation, from Alexandria.

Calculated values
- distance to the lowest polymorph of the same formula (kcal/mol of atoms) = 2.80
- energy of formation from the pure elements (eV per atom) = -0.518
- calculated density (g cm⁻³) = 8.767

```
data_TbPmBi
_cell_length_a 4.223
_cell_length_b 6.430
_cell_length_c 8.632
_cell_angle_alpha 116.92
_cell_angle_beta 90.00
_cell_angle_gamma 109.17
_symmetry_space_group_name_H-M 'P 1'
_symmetry_Int_Tables_number 1
_symmetry_space_group_name_Hall 'P 1'
loop_
_atom_site_label
_atom_site_fract_x
_atom_site_fract_y
_atom_site_fract_z
Pm1 0.434 0.868 0.163
Pm2 0.566 0.132 0.837
Bi1 0.840 0.679 0.823
Bi2 0.160 0.321 0.177
Tb1 0.848 0.696 0.449
Tb2 0.152 0.304 0.551
```



# 4
The following is a GGA-PBE calculation of YHfNb after structural relaxation, from Alexandria.

Calculated values
- distance to the lowest polymorph of the same formula (kcal/mol of atoms) = 1.17
- energy of formation from the pure elements (eV per atom) = 0.230
- calculated density (g cm⁻³) = 8.330

```
data_YHfNb
_cell_length_a 6.077
_cell_length_b 5.160
_cell_length_c 9.451
_cell_angle_alpha 90.00
_cell_angle_beta 104.20
_cell_angle_gamma 90.00
_symmetry_space_group_name_H-M 'P 1'
_symmetry_Int_Tables_number 1
_symmetry_space_group_name_Hall 'P 1'
loop_
_atom_site_label
_atom_site_fract_x
_atom_site_fract_y
_atom_site_fract_z
Nb1 0.135 0.500 0.893
Nb2 0.135 0.000 0.393
Nb3 0.412 0.000 0.637
Nb4 0.412 0.500 0.137
Y1 0.919 0.500 0.208
Y2 0.919 0.000 0.708
Y3 0.585 0.500 0.479
Y4 0.585 0.000 0.979
Hf1 0.612 0.000 0.311
Hf2 0.612 0.500 0.811
Hf3 0.139 0.500 0.574
Hf4 0.139 0.000 0.074
```



# 5
The following is a GGA-PBE calculation of BeSbTe after structural relaxation, from Alexandria.

Calculated values
- distance to the lowest polymorph of the same formula (kcal/mol of atoms) = 12.63
- energy relative to the elements, uncorrected (eV per formula unit) = 1.43
- calculated density (g cm⁻³) = 5.900

```
data_BeSbTe
_cell_length_a 4.685
_cell_length_b 4.685
_cell_length_c 4.685
_cell_angle_alpha 60.00
_cell_angle_beta 60.00
_cell_angle_gamma 60.00
_symmetry_space_group_name_H-M 'P 1'
_symmetry_Int_Tables_number 1
_symmetry_space_group_name_Hall 'P 1'
loop_
_atom_site_label
_atom_site_fract_x
_atom_site_fract_y
_atom_site_fract_z
Te1 0.500 0.500 0.500
Be1 0.750 0.750 0.750
Sb1 0.000 0.000 0.000
```



Total moment values (in μB/atom) by entry order: 0.0000, 1.6803, 0.2513, 0.0000, 0.0000.